# TlSbP2O PBE relaxed
data_TlSbP2O
_chemical_formula_sum 'Tl1 Sb1 P2 O1'
_space_group_name_H-M_alt 'P 4/m m m'
_space_group_IT_number 123
_space_group_name_Hall '-P 4 2'
_cell_length_a 5.200
_cell_length_b 5.200
_cell_length_c 3.979
_cell_angle_alpha 90.00
_cell_angle_beta 90.00
_cell_angle_gamma 90.00
loop_
_atom_site_label
_atom_site_type_symbol
_atom_site_fract_x
_atom_site_fract_y
_atom_site_fract_z
Tl1 Tl 0.000 0.000 0.000
Sb1 Sb 0.500 0.500 0.500
P1 P 0.000 0.500 0.500
O1 O 0.500 0.500 0.000
# polymorph energy (0 for the lowest one) = 0 meV per atom
# DOS(E_F) = 3.34 states/eV/cell

---

# InPH5NO5 PBE relaxed
data_InPH5NO5
_chemical_formula_sum 'In8 P8 H40 N8 O40'
_space_group_name_H-M_alt 'P 43 21 2'
_space_group_IT_number 96
_space_group_name_Hall 'P 4nw 2abw'
_cell_length_a 9.536
_cell_length_b 9.536
_cell_length_c 11.337
_cell_angle_alpha 90.00
_cell_angle_beta 90.00
_cell_angle_gamma 90.00
loop_
_atom_site_label
_atom_site_type_symbol
_atom_site_fract_x
_atom_site_fract_y
_atom_site_fract_z
In1 In 0.093 0.093 0.000
In2 In 0.157 0.843 0.250
P1 P 0.165 0.305 0.759
H1 H 0.011 0.553 0.785
H2 H 0.026 0.697 0.699
H3 H 0.058 0.117 0.604
H4 H 0.074 0.296 0.322
H5 H 0.108 0.689 0.832
N1 N 0.018 0.661 0.786
O1 O 0.004 0.325 0.752
O2 O 0.020 0.944 0.125
O3 O 0.050 0.730 0.536
O4 O 0.204 0.206 0.138
O5 O 0.223 0.239 0.641
# DOS(E_F) = 0.00 states/eV/cell

---

Number 1: size of the total moment 0.00 μB per formula unit, final energy -4.1818 eV/atom. Number 2: size of the total moment 0.00 μB per formula unit, final energy -5.7992 eV/atom.